[1]
Below is an optimized crystal structure of CuNi3N, with properties calculated at the GGA-PBE level.

Geometry as CIF:
```
data_CuNi3N
_cell_length_a 6.4213
_cell_length_b 4.9140
_cell_length_c 7.4307
_cell_angle_alpha 90.00
_cell_angle_beta 115.60
_cell_angle_gamma 90.00
_space_group_name_H-M_alt 'P 1 21/c 1'
_space_group_IT_number 14
_space_group_name_Hall '-P 2ybc'
loop_
_atom_site_label
_atom_site_fract_x
_atom_site_fract_y
_atom_site_fract_z
_atom_site_occupancy
Cu1 0.0944 0.1765 0.1155 1
Ni1 0.1416 0.6503 0.2123 1
Ni2 0.2969 0.0480 0.4658 1
Ni3 0.4520 0.5869 0.6433 1
N1 0.4287 0.7446 0.8803 1
```

Output
**Crystal system**: monoclinic
**Uncorrected formation energy**: 182 meV per atom
**Total moment**: 0.000 μB per formula unit
**Offset from the most stable computed form**: 0.192 eV/atom

***

[2]
Below is an optimized crystal structure of Cu2Ni6N, with properties calculated at the GGA-PBE level.

Geometry as CIF:
```
data_Cu2Ni6N
_cell_length_a 5.1108
_cell_length_b 5.1108
_cell_length_c 7.2648
_cell_angle_alpha 90.00
_cell_angle_beta 90.00
_cell_angle_gamma 90.00
_space_group_name_H-M_alt 'I 4/m m m'
_space_group_IT_number 139
_space_group_name_Hall '-I 4 2'
loop_
_atom_site_label
_atom_site_fract_x
_atom_site_fract_y
_atom_site_fract_z
_atom_site_occupancy
Cu1 0.0000 0.5000 0.2500 1
Ni1 0.0000 0.0000 0.2437 1
Ni2 0.2430 0.2430 0.0000 1
N1 0.0000 0.0000 0.5000 1
```

Output
**Crystal system**: tetragonal
**Uncorrected formation energy**: -14 meV per atom
**Total moment**: 0.000 μB per formula unit

***

[3]
Below is an optimized crystal structure of CuNi3N, with properties calculated at the GGA-PBE level.

Geometry as CIF:
```
data_CuNi3N
_cell_length_a 4.0733
_cell_length_b 4.0733
_cell_length_c 17.5733
_cell_angle_alpha 90.00
_cell_angle_beta 90.00
_cell_angle_gamma 90.00
_space_group_name_H-M_alt 'I -4 m 2'
_space_group_IT_number 119
_space_group_name_Hall 'I -4 -2'
loop_
_atom_site_label
_atom_site_fract_x
_atom_site_fract_y
_atom_site_fract_z
_atom_site_occupancy
Cu1 0.0000 0.0000 0.0000 1
Cu2 0.0000 0.5000 0.2500 1
Ni1 0.0000 0.0000 0.3423 1
Ni2 0.0000 0.2460 0.1241 1
N1 0.0000 0.5000 0.6379 1
```

Output
**Crystal system**: tetragonal
**Uncorrected formation energy**: 1103 meV per atom
**Total moment**: 2.061 μB per formula unit
**Offset from the most stable computed form**: 1.113 eV/atom

***

[4]
Below is an optimized crystal structure of CuNi3N, with properties calculated at the GGA-PBE level.

Geometry as CIF:
```
data_CuNi3N
_cell_length_a 8.5103
_cell_length_b 10.5215
_cell_length_c 4.6134
_cell_angle_alpha 90.00
_cell_angle_beta 90.43
_cell_angle_gamma 90.00
_space_group_name_H-M_alt 'C 1 2/c 1'
_space_group_IT_number 15
_space_group_name_Hall '-C 2yc'
loop_
_atom_site_label
_atom_site_fract_x
_atom_site_fract_y
_atom_site_fract_z
_atom_site_occupancy
Cu1 0.1247 0.0602 0.0863 1
Ni1 0.1282 0.4349 0.5928 1
Ni2 0.1302 0.3063 0.0846 1
Ni3 0.1308 0.1791 0.5771 1
N1 0.0000 0.2889 0.7500 1
N2 0.0000 0.4284 0.2500 1
```

Output
**Crystal system**: monoclinic
**Uncorrected formation energy**: 131 meV per atom
**Total moment**: 0.000 μB per formula unit
**Offset from the most stable computed form**: 0.141 eV/atom

***

[5]
Below is an optimized crystal structure of CuNiN2, with properties calculated at the GGA-PBE level.

Geometry as CIF:
```
data_CuNiN2
_cell_length_a 4.3770
_cell_length_b 4.3770
_cell_length_c 8.7475
_cell_angle_alpha 90.00
_cell_angle_beta 90.00
_cell_angle_gamma 90.00
_space_group_name_H-M_alt 'I -4 2 d'
_space_group_IT_number 122
_space_group_name_Hall 'I -4 2bw'
loop_
_atom_site_label
_atom_site_fract_x
_atom_site_fract_y
_atom_site_fract_z
_atom_site_occupancy
Cu1 0.0000 0.0000 0.0000 1
Ni1 0.0000 0.0000 0.5000 1
N1 0.2278 0.2500 0.6250 1
```

Output
**Crystal system**: tetragonal
**Uncorrected formation energy**: 666 meV per atom
**Total moment**: 0.000 μB per formula unit
**Offset from the most stable computed form**: 0.017 eV/atom

***

[6]
Below is an optimized crystal structure of CuNi2OsN, with properties calculated at the GGA-PBE level.

Geometry as CIF:
```
data_CuNi2OsN
_cell_length_a 3.8103
_cell_length_b 3.8103
_cell_length_c 3.8969
_cell_angle_alpha 90.00
_cell_angle_beta 90.00
_cell_angle_gamma 90.00
_space_group_name_H-M_alt 'P 4/m m m'
_space_group_IT_number 123
_space_group_name_Hall '-P 4 2'
loop_
_atom_site_label
_atom_site_fract_x
_atom_site_fract_y
_atom_site_fract_z
_atom_site_occupancy
Cu1 0.0000 0.0000 0.0000 1
Ni1 0.0000 0.5000 0.5000 1
Os1 0.5000 0.5000 0.0000 1
N1 0.5000 0.5000 0.5000 1
```

Output
**Crystal system**: tetragonal
**Uncorrected formation energy**: 227 meV per atom
**Total moment**: 0.000 μB per formula unit